[1]
Density functional theory data (PBE) for crystalline LiMn3 at its relaxed geometry.

Cell lengths 4.5136, 4.5136, 4.5136 Å; angles 90.00, 90.00, 90.00 degrees
With the nearest neighbours (Å) after each atom.
Space group Pm-3m (No. 221)
One atom of each set of equivalent atoms:
Li  0.0000  0.0000  0.0000 x1  6 Mn 2.26
Mn  0.0000  0.0000  0.5000 x3  2 Li 2.26

Properties
final energy: -5.67 eV per atom
energy relative to the elements: 1.69 eV per atom


[2]
Density functional theory data (PBE) for crystalline Pr2YTmTl2 at its relaxed geometry.

Cell lengths 5.1258, 10.2331, 6.9533 Å; angles 90.00, 90.00, 90.00 degrees
With the nearest neighbours (Å) after each atom.
Space group Pmc2_1 (No. 26)
One atom of each set of equivalent atoms:
Pr  0.0000  0.0464  0.0000 x2  5 Tl 3.31-3.64, 4 Pr 3.49-3.60
Pr  0.5000  0.1875  0.2688 x2  4 Tl 3.28-3.43, 2 Pr 3.49
Y  0.5000  0.4565  0.8962 x2  5 Tl 3.23-3.48, 2 Tm 3.55, 2 Y 3.59
Tm  0.0000  0.3147  0.6100 x2  4 Tl 3.13-3.22
Tl  0.0000  0.3809  0.1572 x2  2 Tm 3.13-3.22, 4 Y 3.23-3.48, 2 Pr 3.33
Tl  0.5000  0.1472  0.7373 x2  2 Tm 3.21, 4 Pr 3.28-3.43, 1 Y 3.35

Properties
final energy: -4.48 eV per atom
energy relative to the elements: -0.27 eV per atom


[3]
Density functional theory data (PBE) for crystalline CoPIr2 at its relaxed geometry.

Cell lengths 5.2562, 5.2562, 10.6123 Å; angles 90.00, 90.00, 90.00 degrees
With the nearest neighbours (Å) after each atom.
Space group I-42d (No. 122)
One atom of each set of equivalent atoms:
Co  0.0000  0.0000  0.0000 x4  4 Ir 2.32
P  0.0000  0.0000  0.5000 x4  4 Ir 2.24
Ir  0.2365  0.2500  0.6250 x8  2 P 2.24, 2 Co 2.32

Properties
final energy: -7.17 eV per atom
energy relative to the elements: 0.39 eV per atom


[4]
Density functional theory data (PBE) for crystalline NaMg2Hg4 at its relaxed geometry.

Cell lengths 7.3117, 7.3117, 6.4520 Å; angles 90.00, 90.00, 90.00 degrees
With the nearest neighbours (Å) after each atom.
Space group I4/mmm (No. 139)
One atom of each set of equivalent atoms:
Na  0.0000  0.0000  0.0000 x2  8 Hg 3.05
Mg  0.0000  0.5000  0.0000 x4  8 Hg 3.05, 2 Mg 3.23
Hg  0.2500  0.2500  0.2500 x8  2 Na 3.05, 4 Mg 3.05, 2 Hg 3.23

Properties
final energy: -0.97 eV per atom
energy relative to the elements: -0.15 eV per atom


[5]
Density functional theory data (PBE) for crystalline Rb2BiOF6 at its relaxed geometry.

Cell lengths 6.4292, 6.4292, 9.5968 Å; angles 90.00, 90.00, 90.00 degrees
With the nearest neighbours (Å) after each atom.
Space group I4/mmm (No. 139)
One atom of each set of equivalent atoms:
Rb  0.0000  0.5000  0.2500 x4  12 F 3.22-3.31
Bi  0.0000  0.0000  0.0000 x2  6 F 2.19
O  0.0000  0.0000  0.5000 x2  6 F 2.36-2.61
F  0.0000  0.0000  0.2279 x4  1 Bi 2.19
F  0.2407  0.2407  0.0000 x8  1 Bi 2.19, 1 O 2.36

Properties
energy relative to the elements, uncorrected: -1.894 eV/atom
final energy: -4.09 eV per atom


[6]
Density functional theory data (PBE) for crystalline Fe2SiHRh at its relaxed geometry.

Cell lengths 3.5797, 3.5797, 4.0051 Å; angles 90.00, 90.00, 90.00 degrees
With the nearest neighbours (Å) after each atom.
Space group P4/mmm (No. 123)
One atom of each set of equivalent atoms:
Fe  0.0000  0.5000  0.0000 x2  2 H 1.79
Si  0.0000  0.0000  0.5000 x1  4 Rh 2.53, 8 Fe 2.69
H  0.5000  0.5000  0.0000 x1  4 Fe 1.79, 2 Rh 2.00
Rh  0.5000  0.5000  0.5000 x1  2 H 2.00

Properties
final energy: -6.83 eV per atom